Pm3AsS2 (PBE, relaxed); formation energy from raw total energies = -1.889 eV/atom; E_tot = -38.49 eV per cell; crystal system = orthorhombic
1.0
3.9727 -0.1232 -1.0321
-0.4669 5.2545 -2.4243
-0.2798 0.0491 7.1118
Pm S As
3 2 1
Direct
0.5000 0.5000 0.0000
0.1684 0.1683 0.3367
0.8316 0.8317 0.6633
0.8346 0.3342 0.6683
0.1654 0.6658 0.3317
0.5000 0.0000 0.0000